Density functional theory data (PBE) for a relaxed PrZnBi crystal.

- ΔE_f (meV/atom) = -319.5
- density (g/cm3) = 7.9
- total magnetic moment (μB/f.u.) = 0.00
- volume (Å³/atom) = 29.14
- SG = I4mm

Cell and atoms, written as extended XYZ:
```
3
Lattice="4.350 0.000 0.000 0.000 4.350 0.000 -2.175 -2.175 4.620" Properties=species:S:1:pos:R:3 pbc="T T T"
Pr 0.000 0.000 2.673
Bi 2.175 2.175 4.065
Zn 2.175 2.175 1.116
```

***

Density functional theory data (PBE) for a relaxed Pr2ZnBi crystal.

- energy relative to the lowest polymorph listed for this composition (eV/atom) = 0.000
- ΔE_f (meV/atom) = -525.9
- density (g/cm3) = 8.0
- total magnetic moment (μB/f.u.) = 0.00
- volume (Å³/atom) = 28.82
- SG = P4/mmm

Cell and atoms, written as extended XYZ:
```
4
Lattice="4.076 0.000 0.000 0.000 4.076 0.000 0.000 0.000 6.941" Properties=species:S:1:pos:R:3 pbc="T T T"
Zn 2.038 2.038 0.000
Pr 0.000 0.000 5.251
Pr 0.000 0.000 1.690
Bi 2.038 2.038 3.470
```

***

Density functional theory data (PBE) for a relaxed PrZnBi2 crystal.

- ΔE_f (meV/atom) = -394.8
- density (g/cm3) = 9.2
- total magnetic moment (μB/f.u.) = 0.00
- volume (Å³/atom) = 28.16
- SG = P4/mmm

Cell and atoms, written as extended XYZ:
```
4
Lattice="4.891 0.000 0.000 0.000 4.800 0.000 0.000 0.000 4.800" Properties=species:S:1:pos:R:3 pbc="T T T"
Pr 2.445 2.400 2.400
Bi 0.000 0.000 2.400
Bi 0.000 2.400 0.000
Zn 2.445 0.000 0.000
```

***

Density functional theory data (PBE) for a relaxed Pr2ZnBi crystal.

- energy relative to the lowest polymorph listed for this composition (eV/atom) = 0.438
- ΔE_f (meV/atom) = -87.7
- density (g/cm3) = 7.3
- total magnetic moment (μB/f.u.) = 0.00
- volume (Å³/atom) = 31.72
- SG = R-3m

Cell and atoms, written as extended XYZ:
```
4
Lattice="-2.742 0.949 -2.162 -2.328 -2.508 -1.176 -8.143 1.266 7.853" Properties=species:S:1:pos:R:3 pbc="T T T"
Pr -6.963 -1.034 -0.707
Pr -6.249 0.742 5.222
Zn -6.606 -0.146 2.257
Bi 0.000 0.000 0.000
```

***

Density functional theory data (PBE) for a relaxed Pr5Zn2Bi crystal.

- ΔE_f (meV/atom) = -388.8
- density (g/cm3) = 7.2
- total magnetic moment (μB/f.u.) = 0.00
- volume (Å³/atom) = 30.31
- SG = I4/mcm

Cell and atoms, written as extended XYZ:
```
16
Lattice="7.787 0.000 -3.676 -1.735 7.592 -3.676 -0.565 -0.709 8.890" Properties=species:S:1:pos:R:3 pbc="T T T"
Zn 0.517 2.692 -1.838
Pr 0.753 5.829 -1.457
Pr 2.329 4.850 1.882
Pr 4.734 1.054 2.994
Zn 1.278 6.488 -4.445
Pr -1.222 3.351 4.445
Zn 5.535 4.900 -5.514
Pr 1.183 -0.444 5.558
Pr 4.304 7.327 -4.020
Pr 6.709 3.531 -2.908
Pr 3.026 3.796 -3.676
Bi 4.257 5.339 -1.069
Pr 0.000 0.000 0.000
Bi 1.231 1.544 2.607
Zn 4.774 1.104 -2.907
Pr 3.158 2.033 -0.344
```

***

Density functional theory data (PBE) for a relaxed Pr2ZnBi crystal.

- energy relative to the lowest polymorph listed for this composition (eV/atom) = 0.055
- ΔE_f (meV/atom) = -470.8
- density (g/cm3) = 7.9
- total magnetic moment (μB/f.u.) = 0.00
- volume (Å³/atom) = 29.05
- SG = Fm-3m

Cell and atoms, written as extended XYZ:
```
4
Lattice="5.477 0.000 0.000 2.739 4.743 0.000 2.739 1.581 4.472" Properties=species:S:1:pos:R:3 pbc="T T T"
Pr 2.739 1.581 1.118
Zn 5.477 3.162 2.236
Pr 8.216 4.743 3.354
Bi 0.000 0.000 0.000
```

***

Density functional theory data (PBE) for a relaxed PrZnBi crystal.

- ΔE_f (meV/atom) = -541.1
- density (g/cm3) = 8.3
- total magnetic moment (μB/f.u.) = 0.00
- volume (Å³/atom) = 27.74
- SG = P3m1

Cell and atoms, written as extended XYZ:
```
3
Lattice="4.536 0.000 0.000 0.000 4.603 0.000 0.000 -2.301 3.986" Properties=species:S:1:pos:R:3 pbc="T T T"
Bi 1.170 0.000 2.657
Zn 0.131 0.000 0.000
Pr 3.235 2.301 1.329
```

***

Density functional theory data (PBE) for a relaxed Pr8Zn2Bi crystal.

- ΔE_f (meV/atom) = -222.2
- density (g/cm3) = 7.1
- total magnetic moment (μB/f.u.) = 0.00
- volume (Å³/atom) = 31.13
- SG = C2/m

Cell and atoms, written as extended XYZ:
```
11
Lattice="5.119 0.000 0.000 0.000 8.358 -0.020 -2.560 -3.656 8.013" Properties=species:S:1:pos:R:3 pbc="T T T"
Pr 2.560 3.162 1.578
Pr 2.560 3.843 5.313
Zn 0.000 3.967 3.274
Bi 2.560 0.000 0.000
Pr 2.560 6.689 2.865
Pr 0.000 1.540 6.416
Zn 2.560 0.734 4.719
Pr 2.560 -1.146 7.241
Pr 0.000 -1.988 5.128
Pr 0.000 5.848 0.752
Pr 0.000 0.859 2.680
```

***

Density functional theory data (PBE) for a relaxed PrZnBi2 crystal.

- ΔE_f (meV/atom) = -167.9
- density (g/cm3) = 8.4
- total magnetic moment (μB/f.u.) = 0.00
- volume (Å³/atom) = 30.99
- SG = R-3m

Cell and atoms, written as extended XYZ:
```
4
Lattice="4.497 0.000 0.000 2.249 3.895 0.000 2.249 1.298 7.078" Properties=species:S:1:pos:R:3 pbc="T T T"
Pr 4.497 2.597 3.539
Bi 2.249 1.298 1.509
Zn 0.000 0.000 0.000
Bi 6.746 3.895 5.569
```

***

Density functional theory data (PBE) for a relaxed Bi5Pt2 crystal.

- energy relative to the lowest polymorph listed for this composition (eV/atom) = 0.000
- ΔE_f (meV/atom) = -190.2
- density (g/cm3) = 12.2
- total magnetic moment (μB/f.u.) = 0.00
- volume (Å³/atom) = 28.00
- SG = C2/c

Cell and atoms, written as extended XYZ:
```
14
Lattice="-4.667 1.777 -4.778 4.736 -0.566 -4.836 -0.347 -8.849 2.046" Properties=species:S:1:pos:R:3 pbc="T T T"
Bi 0.099 -6.714 -3.548
Bi -3.050 -3.916 -4.746
Pt 2.661 -6.469 -2.470
Bi 1.100 -0.869 -7.350
Pt -2.073 -5.285 -2.475
Bi -0.377 -0.924 -4.021
Bi 3.324 -0.338 -3.860
Pt 1.795 -2.354 -5.093
Bi -3.256 1.549 -5.754
Bi -1.378 -6.770 -0.218
Bi -0.782 -2.988 -1.618
Bi 0.504 -4.650 -5.951
Bi 2.772 -3.723 -2.822
Pt -2.939 -1.169 -5.098
```

***

Density functional theory data (PBE) for a relaxed Bi3Pt crystal.

- energy relative to the lowest polymorph listed for this composition (eV/atom) = 0.005
- ΔE_f (meV/atom) = -123.0
- density (g/cm3) = 12.4
- total magnetic moment (μB/f.u.) = 0.00
- volume (Å³/atom) = 27.59
- SG = I-4

Cell and atoms, written as extended XYZ:
```
16
Lattice="-6.037 1.811 -1.312 -5.538 -6.947 0.100 -4.406 2.128 7.417" Properties=species:S:1:pos:R:3 pbc="T T T"
Bi -7.323 -6.099 1.494
Pt -7.425 -0.084 1.155
Bi -5.437 1.740 2.147
Bi -13.889 -1.795 6.243
Bi -5.787 -3.463 -0.264
Pt -11.018 -2.615 1.010
Pt -10.501 1.269 3.991
Bi -5.674 2.196 5.359
Bi -7.996 -0.183 4.040
Bi -11.367 -1.531 3.722
Bi -8.334 -2.720 2.089
Bi -8.130 -5.472 4.582
Bi -4.265 -1.581 2.559
Bi -5.075 -0.318 -0.687
Pt -9.055 -2.774 4.942
Bi -6.572 -0.631 7.256
```

***

Density functional theory data (PBE) for a relaxed BiPt3 crystal.

- ΔE_f (meV/atom) = 5.3
- density (g/cm3) = 18.0
- total magnetic moment (μB/f.u.) = 0.00
- volume (Å³/atom) = 18.32
- SG = Fm-3m

Cell and atoms, written as extended XYZ:
```
4
Lattice="-0.118 -2.010 4.244 -0.314 -4.671 0.378 3.682 -2.485 1.525" Properties=species:S:1:pos:R:3 pbc="T T T"
Bi 1.625 -4.583 3.074
Pt 0.813 -2.292 1.537
Pt 2.438 -6.875 4.610
Pt 0.000 0.000 0.000
```

***

Density functional theory data (PBE) for a relaxed BiPt3 crystal.

- ΔE_f (meV/atom) = 1.3
- density (g/cm3) = 18.1
- total magnetic moment (μB/f.u.) = 0.00
- volume (Å³/atom) = 18.22
- SG = P4/mmm

Cell and atoms, written as extended XYZ:
```
4
Lattice="4.189 0.000 0.000 0.000 4.170 0.000 0.000 0.000 4.173" Properties=species:S:1:pos:R:3 pbc="T T T"
Pt 2.094 2.085 0.349
Bi 2.094 0.000 2.435
Pt 0.000 2.085 2.434
Pt 0.000 0.000 0.347
```

***

Density functional theory data (PBE) for a relaxed BiPt2 crystal.

- ΔE_f (meV/atom) = -147.5
- density (g/cm3) = 15.7
- total magnetic moment (μB/f.u.) = 0.00
- volume (Å³/atom) = 21.15
- SG = C2/m

Cell and atoms, written as extended XYZ:
```
6
Lattice="-3.176 1.818 -2.030 1.203 -4.358 -1.472 -4.401 -1.226 5.788" Properties=species:S:1:pos:R:3 pbc="T T T"
Bi -5.747 -1.348 3.471
Pt -3.250 -1.822 -0.861
Pt -0.525 -2.719 -1.615
Pt -0.881 -0.948 0.529
Pt -3.607 -0.051 1.284
Bi -2.785 -2.649 1.986
```

***

Density functional theory data (PBE) for a relaxed Bi4Pt crystal.

- energy relative to the lowest polymorph listed for this composition (eV/atom) = 0.001
- ΔE_f (meV/atom) = -101.8
- density (g/cm3) = 11.6
- total magnetic moment (μB/f.u.) = 0.00
- volume (Å³/atom) = 29.51
- SG = I4_1/a

Cell and atoms, written as extended XYZ:
```
10
Lattice="6.012 0.000 -2.716 -1.227 5.886 -2.716 0.098 0.120 8.229" Properties=species:S:1:pos:R:3 pbc="T T T"
Bi 3.595 0.244 3.947
Pt 0.000 0.000 0.000
Bi -0.187 3.948 3.598
Bi 3.309 3.589 3.314
Pt 4.251 1.532 1.399
Bi 1.594 2.436 0.560
Bi 4.764 5.383 -2.510
Bi 0.754 1.408 5.680
Bi 1.431 4.981 -1.877
Bi 4.272 2.034 -1.523
```

***

Density functional theory data (PBE) for a relaxed Bi5Pt crystal.

- ΔE_f (meV/atom) = -42.1
- density (g/cm3) = 11.0
- total magnetic moment (μB/f.u.) = 0.00
- volume (Å³/atom) = 31.09
- SG = Cm

Cell and atoms, written as extended XYZ:
```
6
Lattice="-1.238 2.405 -3.077 3.620 -6.581 -3.873 -3.519 -5.085 -2.559" Properties=species:S:1:pos:R:3 pbc="T T T"
Bi -2.021 -4.505 -2.708
Bi -0.113 -2.201 -4.403
Bi -0.689 -1.593 -0.968
Pt -2.851 -5.016 -5.501
Bi -0.583 -6.651 -4.964
Bi 2.049 -4.589 -4.411
```

***

Density functional theory data (PBE) for a relaxed BiPt5 crystal.

- ΔE_f (meV/atom) = -4.2
- density (g/cm3) = 18.9
- total magnetic moment (μB/f.u.) = 0.00
- volume (Å³/atom) = 17.32
- SG = Cmmm

Cell and atoms, written as extended XYZ:
```
6
Lattice="4.122 0.000 0.000 0.000 3.976 0.000 0.000 -1.988 6.342" Properties=species:S:1:pos:R:3 pbc="T T T"
Pt 0.000 1.988 2.128
Pt 2.061 0.000 2.216
Pt 0.000 0.000 4.215
Pt 2.061 1.988 0.000
Pt 2.061 1.988 4.126
Bi 0.000 0.000 0.000
```

***

Density functional theory data (PBE) for a relaxed Bi5Pt2 crystal.

- energy relative to the lowest polymorph listed for this composition (eV/atom) = 0.044
- ΔE_f (meV/atom) = -146.3
- density (g/cm3) = 12.7
- total magnetic moment (μB/f.u.) = 0.00
- volume (Å³/atom) = 26.82
- SG = C2/c

Cell and atoms, written as extended XYZ:
```
14
Lattice="-4.995 -1.950 4.705 0.247 -6.433 -2.404 7.910 0.531 3.209" Properties=species:S:1:pos:R:3 pbc="T T T"
Bi -2.646 -2.665 1.949
Bi -2.103 -5.718 0.351
Bi -0.606 -3.251 4.528
Bi 6.316 0.102 2.677
Bi -3.155 -7.954 2.833
Bi 2.618 -1.785 3.151
Bi 0.543 -6.067 2.359
Pt -0.146 -1.066 2.201
Pt 3.307 -6.786 3.310
Bi 0.482 -3.270 0.494
Pt -2.434 -5.224 3.270
Bi 3.768 -4.601 0.982
Pt 5.595 -2.628 2.240
Bi 2.680 -4.582 5.016
```

***

Density functional theory data (PBE) for a relaxed Bi3Pt crystal.

- energy relative to the lowest polymorph listed for this composition (eV/atom) = 0.000
- ΔE_f (meV/atom) = -128.5
- density (g/cm3) = 12.0
- total magnetic moment (μB/f.u.) = 0.00
- volume (Å³/atom) = 28.55
- SG = P2_1/m

Cell and atoms, written as extended XYZ:
```
8
Lattice="-1.680 -3.243 0.331 0.801 -1.085 -6.565 7.861 -3.631 4.333" Properties=species:S:1:pos:R:3 pbc="T T T"
Bi 7.057 -4.733 -0.386
Bi 3.644 -3.187 -2.567
Bi -0.076 -3.226 -1.515
Pt 4.642 -5.689 -1.693
Pt 2.339 -2.270 -0.208
Bi 5.970 -3.825 2.991
Bi 1.011 -4.134 -4.892
Bi 3.337 -4.771 0.666
```

***

Density functional theory data (PBE) for a relaxed Bi4Pt crystal.

- energy relative to the lowest polymorph listed for this composition (eV/atom) = 0.385
- ΔE_f (meV/atom) = 282.9
- density (g/cm3) = 10.5
- total magnetic moment (μB/f.u.) = 0.00
- volume (Å³/atom) = 32.64
- SG = Pm-3m

Cell and atoms, written as extended XYZ:
```
5
Lattice="5.465 0.000 0.000 0.000 5.465 0.000 0.000 0.000 5.465" Properties=species:S:1:pos:R:3 pbc="T T T"
Bi 0.000 0.000 0.000
Bi 2.732 0.000 2.732
Pt 2.732 2.732 2.732
Bi 2.732 2.732 0.000
Bi 0.000 2.732 2.732
```